[1]
Material: Ca3Bi2Pt
Method: DFT, PBE
State: relaxed

Cell lengths 4.6849, 11.9939, 12.6569 Å; angles 90.00, 90.00, 90.00 degrees
Sites, in units of the cell vectors:
Ca: 0.2500 0.3770 0.0557
Ca: 0.7500 0.6230 0.9443
Ca: 0.7500 0.8770 0.4443
Ca: 0.2500 0.1230 0.5557
Ca: 0.2500 0.7024 0.2389
Ca: 0.7500 0.2976 0.7611
Ca: 0.7500 0.2024 0.2611
Ca: 0.2500 0.7976 0.7389
Ca: 0.2500 0.4548 0.3848
Ca: 0.7500 0.5452 0.6152
Ca: 0.7500 0.9548 0.1152
Ca: 0.2500 0.0452 0.8848
Bi: 0.2500 0.6987 0.5002
Bi: 0.7500 0.3013 0.4998
Bi: 0.7500 0.1987 0.9998
Bi: 0.2500 0.8013 0.0002
Bi: 0.2500 0.9988 0.3059
Bi: 0.7500 0.0012 0.6941
Bi: 0.7500 0.4988 0.1941
Bi: 0.2500 0.5012 0.8059
Pt: 0.2500 0.1335 0.1209
Pt: 0.7500 0.8665 0.8791
Pt: 0.7500 0.6335 0.3791
Pt: 0.2500 0.3665 0.6209

Calculated formation energy (eV/atom): -0.86
SG: Pnma

***

[2]
Material: SbPb8
Method: DFT, PBE
State: relaxed

Cell lengths 5.0496, 7.8714, 7.8714 Å; angles 84.09, 71.29, 71.29 degrees
Sites, in units of the cell vectors:
Sb: 0.0000 0.0000 0.0000
Pb: 0.3352 0.0000 0.3296
Pb: 0.6648 0.0000 0.6704
Pb: 0.6700 0.3300 0.3300
Pb: 0.3352 0.3296 0.0000
Pb: 0.0000 0.3300 0.6700
Pb: 0.6648 0.6704 0.0000
Pb: 0.3300 0.6700 0.6700
Pb: 0.0000 0.6700 0.3300

Formation energy (no corrections) (eV per formula unit): 0.223
SG: I4/mmm
Excess energy over the best structure of this formula in the dataset (meV/atom): 0

***

M_tot (μB/cell)
0.00, 0.00
VASP energy (eV per cell)
-99.85, -33.57